[1]
Zr3W | PBE-GGA | optimized geometry

Properties
relative energy among the computed polymorphs: 103 meV per atom
Fermi-level density of states: 22.147 states/eV per cell
DFT formation energy: 0.1996 eV per atom

a b c (Å): 6.190 9.376 5.938
angles (deg): 90.00 90.00 90.00
Atoms (fractional coordinates):
1 Zr 0.007 0.250 0.867
2 Zr 0.218 0.033 0.359
3 Zr 0.218 0.467 0.359
4 Zr 0.282 0.533 0.859
5 Zr 0.282 0.967 0.859
6 Zr 0.493 0.750 0.367
7 Zr 0.507 0.250 0.633
8 Zr 0.718 0.033 0.141
9 Zr 0.718 0.467 0.141
10 Zr 0.782 0.533 0.641
11 Zr 0.782 0.967 0.641
12 Zr 0.993 0.750 0.133
13 W 0.085 0.750 0.608
14 W 0.415 0.250 0.108
15 W 0.585 0.750 0.892
16 W 0.915 0.250 0.392

=====

[2]
Y4CoHg2 | PBE-GGA | optimized geometry

Properties
Fermi-level density of states: 6.106 states/eV per cell
DFT formation energy: -0.2050 eV per atom

a b c (Å): 5.074 5.074 8.453
angles (deg): 107.46 107.46 90.00
Atoms (fractional coordinates):
1 Y 0.823 0.823 0.647
2 Y 0.177 0.177 0.353
3 Y 0.000 0.500 0.000
4 Y 0.500 0.000 0.000
5 Co 0.000 0.000 0.000
6 Hg 0.628 0.628 0.256
7 Hg 0.372 0.372 0.744

=====

[3]
SmSbSe | PBE-GGA | optimized geometry

Properties
formation energy from raw total energies: -1.35 eV/atom
Fermi-level density of states: 1.258 states/eV per cell

a b c (Å): 4.192 4.192 9.599
angles (deg): 102.61 102.61 90.00
Atoms (fractional coordinates):
1 Sm 0.351 0.351 0.702
2 Sm 0.649 0.649 0.298
3 Sb 0.000 0.500 0.000
4 Sb 0.500 0.000 0.000
5 Se 0.187 0.187 0.374
6 Se 0.813 0.813 0.626

=====

- What is the formula in the first record?
  Zr3W

=====

- Which value of Fermi-level density of states does entry 1 give?
  22.147 states/eV per cell

=====

- What is the Fermi-level density of states in the first record?
  22.147 states/eV per cell